Li2MnV3O8 | PBE+U | optimized geometry

Cell: 10.460 5.970 10.348 Å, 90.00 109.16 90.00°
Space group Cc (No. 9)
Symmetry-distinct sites (fractional):
Li 0.000 0.243 0.000 [4 per cell]
Li 0.071 0.257 0.690 [4 per cell]
Mn 0.137 0.244 0.380 [4 per cell]
V 0.318 0.483 0.192 [4 per cell]
V 0.319 0.256 0.943 [4 per cell]
V 0.323 0.008 0.686 [4 per cell]
O 0.207 0.240 0.070 [4 per cell]
O 0.210 0.478 0.814 [4 per cell]
O 0.214 0.268 0.588 [4 per cell]
O 0.218 0.026 0.813 [4 per cell]
O 0.424 0.006 0.072 [4 per cell]
O 0.425 0.258 0.294 [4 per cell]
O 0.426 0.463 0.058 [4 per cell]
O 0.427 0.259 0.809 [4 per cell]

The size of the total moment comes out at 8.00 μB per formula unit. The value obtained for the energy relative to the lowest polymorph listed for this composition is 2.5 meV/atom.

***

Li2MnVO4 | PBE+U | optimized geometry

Cell: 5.281 2.929 5.368 Å, 90.00 112.56 90.00°
Space group P2/m (No. 10)
Symmetry-distinct sites (fractional):
Li 0.000 0.000 0.000 [1 per cell]
Li 0.000 0.500 0.500 [1 per cell]
Mn 0.500 0.000 0.500 [1 per cell]
V 0.500 0.500 0.000 [1 per cell]
O 0.257 0.000 0.767 [2 per cell]
O 0.287 0.500 0.258 [2 per cell]

The size of the total moment comes out at 6.00 μB per formula unit. The value obtained for the energy relative to the lowest polymorph listed for this composition is 0.0 meV/atom.

***

Li4MnVW2O12 | PBE+U | optimized geometry

Cell: 5.071 5.382 7.683 Å, 94.82 90.85 90.16°
Space group P1 (No. 1)
Symmetry-distinct sites (fractional):
Li 0.000 0.000 0.000 [1 per cell]
Li 0.001 0.992 0.515 [1 per cell]
Li 0.498 0.472 0.520 [1 per cell]
Li 0.515 0.471 0.000 [1 per cell]
Mn 0.503 0.062 0.719 [1 per cell]
V 0.999 0.540 0.247 [1 per cell]
W 0.017 0.566 0.740 [1 per cell]
W 0.495 0.039 0.219 [1 per cell]
O 0.132 0.584 0.968 [1 per cell]
O 0.182 0.879 0.275 [1 per cell]
O 0.198 0.270 0.651 [1 per cell]
O 0.302 0.393 0.280 [1 per cell]
O 0.305 0.760 0.650 [1 per cell]
O 0.382 0.101 0.989 [1 per cell]
O 0.632 0.097 0.446 [1 per cell]
O 0.697 0.384 0.767 [1 per cell]
O 0.700 0.762 0.149 [1 per cell]
O 0.813 0.280 0.154 [1 per cell]
O 0.824 0.878 0.764 [1 per cell]
O 0.880 0.575 0.458 [1 per cell]

The size of the total moment comes out at 4.00 μB per formula unit. The calculated total energy is -6.8070 eV/atom.

***

Li4MnV2WO12 | PBE+U | optimized geometry

Cell: 5.059 5.348 7.366 Å, 94.44 90.02 90.11°
Space group P1 (No. 1)
Symmetry-distinct sites (fractional):
Li 0.000 0.000 0.000 [1 per cell]
Li 0.000 0.022 0.534 [1 per cell]
Li 0.506 0.519 0.537 [1 per cell]
Li 0.514 0.532 0.988 [1 per cell]
Mn 0.004 0.583 0.733 [1 per cell]
V 0.005 0.566 0.230 [1 per cell]
V 0.504 0.083 0.737 [1 per cell]
W 0.508 0.079 0.232 [1 per cell]
O 0.116 0.608 0.457 [1 per cell]
O 0.191 0.295 0.156 [1 per cell]
O 0.204 0.920 0.772 [1 per cell]
O 0.317 0.417 0.768 [1 per cell]
O 0.318 0.794 0.154 [1 per cell]
O 0.381 0.111 0.468 [1 per cell]
O 0.620 0.120 0.972 [1 per cell]
O 0.691 0.423 0.275 [1 per cell]
O 0.699 0.818 0.663 [1 per cell]
O 0.796 0.308 0.659 [1 per cell]
O 0.826 0.924 0.277 [1 per cell]
O 0.894 0.623 0.976 [1 per cell]

The size of the total moment comes out at 2.98 μB per formula unit. The calculated total energy is -6.7089 eV/atom.

***

Li7Mn3W2O16 | PBE+U | optimized geometry

Cell: 10.294 5.809 9.617 Å, 90.00 91.07 90.00°
Space group Cm (No. 8)
Symmetry-distinct sites (fractional):
Li 0.000 0.000 0.000 [2 per cell]
Li 0.003 0.500 0.811 [2 per cell]
Li 0.096 0.243 0.307 [4 per cell]
Li 0.171 0.500 0.585 [2 per cell]
Li 0.180 0.500 0.093 [2 per cell]
Li 0.339 0.000 0.506 [2 per cell]
Mn 0.259 0.248 0.813 [4 per cell]
Mn 0.349 0.500 0.318 [2 per cell]
W 0.024 0.000 0.577 [2 per cell]
W 0.348 0.000 0.089 [2 per cell]
O 0.008 0.500 0.169 [2 per cell]
O 0.091 0.243 0.689 [4 per cell]
O 0.157 0.000 0.455 [2 per cell]
O 0.179 0.500 0.903 [2 per cell]
O 0.190 0.000 0.933 [2 per cell]
O 0.191 0.500 0.397 [2 per cell]
O 0.269 0.244 0.190 [4 per cell]
O 0.328 0.000 0.711 [2 per cell]
O 0.335 0.500 0.701 [2 per cell]
O 0.399 0.230 0.942 [4 per cell]
O 0.424 0.286 0.449 [4 per cell]
O 0.490 0.500 0.209 [2 per cell]

The size of the total moment comes out at 8.00 μB per formula unit. The calculated total energy is -6.4214 eV/atom.

***

Li4MnW3O12 | PBE+U | optimized geometry

Cell: 5.213 5.570 7.593 Å, 94.71 90.36 90.22°
Space group P1 (No. 1)
Symmetry-distinct sites (fractional):
Li 0.000 0.000 0.000 [1 per cell]
Li 0.009 0.009 0.446 [1 per cell]
Li 0.501 0.549 0.991 [1 per cell]
Li 0.516 0.683 0.373 [1 per cell]
Mn 0.008 0.592 0.179 [1 per cell]
W 0.000 0.577 0.678 [1 per cell]
W 0.506 0.090 0.692 [1 per cell]
W 0.516 0.118 0.194 [1 per cell]
O 0.134 0.642 0.905 [1 per cell]
O 0.196 0.302 0.614 [1 per cell]
O 0.209 0.943 0.234 [1 per cell]
O 0.303 0.820 0.610 [1 per cell]
O 0.352 0.422 0.229 [1 per cell]
O 0.377 0.121 0.921 [1 per cell]
O 0.629 0.106 0.440 [1 per cell]
O 0.683 0.818 0.122 [1 per cell]
O 0.697 0.409 0.742 [1 per cell]
O 0.797 0.916 0.744 [1 per cell]
O 0.804 0.279 0.105 [1 per cell]
O 0.883 0.641 0.452 [1 per cell]

The size of the total moment comes out at 5.00 μB per formula unit. The value obtained for the energy relative to the lowest polymorph listed for this composition is 15.6 meV/atom.

***

Li4MnW3O12 | PBE+U | optimized geometry

Cell: 5.052 8.914 5.150 Å, 90.00 91.23 90.00°
Space group P2 (No. 3)
Symmetry-distinct sites (fractional):
Li 0.000 0.000 0.000 [1 per cell]
Li 0.000 0.355 0.500 [1 per cell]
Li 0.500 0.480 0.500 [1 per cell]
Li 0.500 0.848 0.000 [1 per cell]
Mn 0.500 0.088 0.500 [1 per cell]
W 0.000 0.578 0.000 [1 per cell]
W 0.000 0.792 0.500 [1 per cell]
W 0.500 0.261 0.000 [1 per cell]
O 0.199 0.612 0.687 [2 per cell]
O 0.204 0.757 0.186 [2 per cell]
O 0.234 0.924 0.660 [2 per cell]
O 0.244 0.443 0.145 [2 per cell]
O 0.277 0.121 0.149 [2 per cell]
O 0.309 0.294 0.687 [2 per cell]

The size of the total moment comes out at 5.00 μB per formula unit. The value obtained for the energy relative to the lowest polymorph listed for this composition is 0.0 meV/atom.

***

Li3Mn3WO8 | PBE+U | optimized geometry

Cell: 6.2926 6.2926 14.7345 Å, 90.00 90.00 120.00°
Space group R-3m (No. 166, hexagonal axes)
Symmetry-distinct sites (fractional):
Li 0.0000 0.5000 0.0000 [9 per cell]
Mn 0.0000 0.5000 0.5000 [9 per cell]
W 0.0000 0.0000 0.5000 [3 per cell]
O 0.0000 0.0000 0.2338 [6 per cell]
O 0.0393 0.5196 0.2431 [18 per cell]

The size of the total moment comes out at 14.00 μB per formula unit. The calculated total energy is -6.8511 eV/atom.